[1]
A plane-wave DFT calculation with meta-GGA SCAN was carried out for a PBEsol-optimized structure of TaCdW2.

Calculated values
Energy of formation from the pure elements: 0.482 eV/atom
ρ: 16.2 g/cm³
Electronic total energy: -58.612 eV per atom

a = 9.5503 Å, b = 2.7000 Å, c = 5.2740 Å
α = 90.00°, β = 95.12°, γ = 90.00°
Space group Cm (No. 8)
Inequivalent atoms, fractional coordinates:
Ta 0.0000 0.0000 0.0000 (multiplicity 2)
Cd 0.2514 0.0000 0.7513 (multiplicity 2)
W 0.0051 0.5000 0.4931 (multiplicity 2)
W 0.2528 0.5000 0.2566 (multiplicity 2)



[2]
A plane-wave DFT calculation with meta-GGA SCAN was carried out for a PBEsol-optimized structure of Ta2CdW.

Calculated values
Energy of formation from the pure elements: 0.312 eV/atom
ρ: 15.6 g/cm³
Electronic total energy: -58.005 eV per atom

a = 3.4074 Å, b = 4.5454 Å, c = 9.0402 Å
α = 90.00°, β = 90.00°, γ = 90.00°
Space group Imm2 (No. 44)
Inequivalent atoms, fractional coordinates:
Ta 0.0000 0.0000 0.0000 (multiplicity 2)
Ta 0.0000 0.5000 0.2484 (multiplicity 2)
Cd 0.0000 0.0000 0.4859 (multiplicity 2)
W 0.0000 0.5000 0.7292 (multiplicity 2)



[3]
A plane-wave DFT calculation with meta-GGA SCAN was carried out for a PBEsol-optimized structure of Ta2CdW.

Calculated values
Energy of formation from the pure elements: 0.308 eV/atom
ρ: 15.7 g/cm³
Electronic total energy: -58.010 eV per atom

a = 3.5038 Å, b = 4.5725 Å, c = 8.7165 Å
α = 90.00°, β = 90.00°, γ = 90.00°
Space group Immm (No. 71)
Inequivalent atoms, fractional coordinates:
Ta 0.0000 0.0000 0.2362 (multiplicity 4)
Cd 0.0000 0.5000 0.0000 (multiplicity 2)
W 0.0000 0.5000 0.5000 (multiplicity 2)



[4]
A plane-wave DFT calculation with meta-GGA SCAN was carried out for a PBEsol-optimized structure of TaCd2W.

Calculated values
Energy of formation from the pure elements: 0.941 eV/atom
ρ: 13.9 g/cm³
Electronic total energy: -48.334 eV per atom
Excess energy over the best structure of this formula in the dataset: 203.5 kJ/mol of formula units

a = 6.5517 Å, b = 6.5517 Å, c = 6.5517 Å
α = 90.00°, β = 90.00°, γ = 90.00°
Space group Fm-3m (No. 225)
Inequivalent atoms, fractional coordinates:
Ta 0.0000 0.0000 0.0000 (multiplicity 4)
Cd 0.2500 0.2500 0.2500 (multiplicity 8)
W 0.0000 0.0000 0.5000 (multiplicity 4)



[5]
A plane-wave DFT calculation with meta-GGA SCAN was carried out for a PBEsol-optimized structure of TaCd2W.

Calculated values
Energy of formation from the pure elements: 0.464 eV/atom
ρ: 13.6 g/cm³
Electronic total energy: -48.811 eV per atom
Excess energy over the best structure of this formula in the dataset: 19.5 kJ/mol of formula units

a = 2.7534 Å, b = 4.3530 Å, c = 6.0126 Å
α = 90.00°, β = 90.00°, γ = 90.00°
Space group Pmm2 (No. 25)
Inequivalent atoms, fractional coordinates:
Ta 0.0000 0.0000 0.0000 (multiplicity 1)
Cd 0.0000 0.0000 0.4804 (multiplicity 1)
Cd 0.5000 0.5000 0.7255 (multiplicity 1)
W 0.5000 0.5000 0.2113 (multiplicity 1)



[6]
A plane-wave DFT calculation with meta-GGA SCAN was carried out for a PBEsol-optimized structure of TaCd2W.

Calculated values
Energy of formation from the pure elements: 0.414 eV/atom
ρ: 13.7 g/cm³
Electronic total energy: -48.861 eV per atom
Excess energy over the best structure of this formula in the dataset: 0.0 kJ/mol of formula units

a = 2.8079 Å, b = 4.5633 Å, c = 5.6128 Å
α = 90.00°, β = 96.99°, γ = 90.00°
Space group Pm (No. 6)
Inequivalent atoms, fractional coordinates:
Ta 0.0000 0.0000 0.0000 (multiplicity 1)
Cd 0.3970 0.0000 0.4845 (multiplicity 1)
Cd 0.4025 0.5000 0.7512 (multiplicity 1)
W 0.7874 0.5000 0.2392 (multiplicity 1)



[7]
A plane-wave DFT calculation with meta-GGA SCAN was carried out for a PBEsol-optimized structure of TaCdW3.

Calculated values
Energy of formation from the pure elements: 2.283 eV/atom
ρ: 13.1 g/cm³
Electronic total energy: -58.929 eV per atom

a = 4.7539 Å, b = 4.7539 Å, c = 4.7539 Å
α = 90.00°, β = 90.00°, γ = 90.00°
Space group Pm-3m (No. 221)
Inequivalent atoms, fractional coordinates:
Ta 0.0000 0.0000 0.0000 (multiplicity 1)
Cd 0.5000 0.5000 0.5000 (multiplicity 1)
W 0.0000 0.0000 0.5000 (multiplicity 3)



[8]
A plane-wave DFT calculation with meta-GGA SCAN was carried out for a PBEsol-optimized structure of TaCdW.

Calculated values
Energy of formation from the pure elements: 1.365 eV/atom
ρ: 12.6 g/cm³
Electronic total energy: -54.197 eV per atom
Excess energy over the best structure of this formula in the dataset: 260.8 kJ/mol of formula units

a = 6.3134 Å, b = 6.3134 Å, c = 6.3134 Å
α = 90.00°, β = 90.00°, γ = 90.00°
Space group F-43m (No. 216)
Inequivalent atoms, fractional coordinates:
Ta 0.0000 0.0000 0.0000 (multiplicity 4)
Cd 0.2500 0.2500 0.7500 (multiplicity 4)
W 0.2500 0.2500 0.2500 (multiplicity 4)



[9]
A plane-wave DFT calculation with meta-GGA SCAN was carried out for a PBEsol-optimized structure of TaCdW2.

Calculated values
Energy of formation from the pure elements: 0.527 eV/atom
ρ: 16.3 g/cm³
Electronic total energy: -58.567 eV per atom

a = 6.4621 Å, b = 6.4621 Å, c = 6.4621 Å
α = 90.00°, β = 90.00°, γ = 90.00°
Space group F-43m (No. 216)
Inequivalent atoms, fractional coordinates:
Ta 0.0000 0.0000 0.0000 (multiplicity 4)
Cd 0.2500 0.2500 0.2500 (multiplicity 4)
W 0.0000 0.0000 0.5000 (multiplicity 4)
W 0.2500 0.2500 0.7500 (multiplicity 4)



[10]
A plane-wave DFT calculation with meta-GGA SCAN was carried out for a PBEsol-optimized structure of Ta2CdW.

Calculated values
Energy of formation from the pure elements: 0.302 eV/atom
ρ: 15.6 g/cm³
Electronic total energy: -58.015 eV per atom

a = 3.3333 Å, b = 3.3333 Å, c = 6.3127 Å
α = 90.00°, β = 90.00°, γ = 90.00°
Space group P4mm (No. 99)
Inequivalent atoms, fractional coordinates:
Ta 0.0000 0.0000 0.0000 (multiplicity 1)
Ta 0.5000 0.5000 0.2384 (multiplicity 1)
Cd 0.5000 0.5000 0.7263 (multiplicity 1)
W 0.0000 0.0000 0.4589 (multiplicity 1)



[11]
A plane-wave DFT calculation with meta-GGA SCAN was carried out for a PBEsol-optimized structure of Ta2CdW.

Calculated values
Energy of formation from the pure elements: 0.368 eV/atom
ρ: 15.7 g/cm³
Electronic total energy: -57.950 eV per atom

a = 5.2759 Å, b = 2.7532 Å, c = 5.2771 Å
α = 90.00°, β = 114.51°, γ = 90.00°
Space group P2/m (No. 10)
Inequivalent atoms, fractional coordinates:
Ta 0.0000 0.0000 0.0000 (multiplicity 1)
Ta 0.5000 0.5000 0.0000 (multiplicity 1)
Cd 0.0000 0.5000 0.5000 (multiplicity 1)
W 0.5000 0.0000 0.5000 (multiplicity 1)



[12]
A plane-wave DFT calculation with meta-GGA SCAN was carried out for a PBEsol-optimized structure of Y2TaCd.

Calculated values
Energy of formation from the pure elements: 0.163 eV/atom
ρ: 8.2 g/cm³
Electronic total energy: -38.008 eV per atom

a = 3.2823 Å, b = 5.2447 Å, c = 11.1244 Å
α = 90.00°, β = 90.00°, γ = 90.00°
Space group Imm2 (No. 44)
Inequivalent atoms, fractional coordinates:
Y 0.0000 0.0000 0.0000 (multiplicity 2)
Y 0.0000 0.5000 0.2071 (multiplicity 2)
Ta 0.0000 0.0000 0.4595 (multiplicity 2)
Cd 0.0000 0.5000 0.7491 (multiplicity 2)



[13]
A plane-wave DFT calculation with meta-GGA SCAN was carried out for a PBEsol-optimized structure of YTaCd.

Calculated values
Energy of formation from the pure elements: 0.820 eV/atom
ρ: 8.5 g/cm³
Electronic total energy: -40.793 eV per atom

a = 6.6875 Å, b = 6.6875 Å, c = 6.6875 Å
α = 90.00°, β = 90.00°, γ = 90.00°
Space group F-43m (No. 216)
Inequivalent atoms, fractional coordinates:
Y 0.0000 0.0000 0.0000 (multiplicity 4)
Ta 0.0000 0.0000 0.5000 (multiplicity 4)
Cd 0.2500 0.2500 0.2500 (multiplicity 4)



[14]
A plane-wave DFT calculation with meta-GGA SCAN was carried out for a PBEsol-optimized structure of Ta2ZnCd.

Calculated values
Energy of formation from the pure elements: 0.160 eV/atom
ρ: 13.2 g/cm³
Electronic total energy: -44.114 eV per atom
Excess energy over the best structure of this formula in the dataset: 0.0 kJ/mol of formula units

a = 5.5702 Å, b = 8.7243 Å, c = 2.7937 Å
α = 90.00°, β = 90.00°, γ = 90.00°
Space group Cmmm (No. 65)
Inequivalent atoms, fractional coordinates:
Ta 0.2500 0.2500 0.0000 (multiplicity 4)
Zn 0.0000 0.0000 0.5000 (multiplicity 2)
Cd 0.0000 0.5000 0.5000 (multiplicity 2)



[15]
A plane-wave DFT calculation with meta-GGA SCAN was carried out for a PBEsol-optimized structure of Ta2ZnCd.

Calculated values
Energy of formation from the pure elements: 0.296 eV/atom
ρ: 13.1 g/cm³
Electronic total energy: -43.978 eV per atom
Excess energy over the best structure of this formula in the dataset: 52.3 kJ/mol of formula units

a = 3.9669 Å, b = 3.9669 Å, c = 8.7139 Å
α = 90.00°, β = 90.00°, γ = 90.00°
Space group I-4m2 (No. 119)
Inequivalent atoms, fractional coordinates:
Ta 0.0000 0.0000 0.0000 (multiplicity 2)
Ta 0.0000 0.5000 0.2500 (multiplicity 2)
Zn 0.0000 0.0000 0.5000 (multiplicity 2)
Cd 0.0000 0.5000 0.7500 (multiplicity 2)



Result set for calculated volume: 16.93, 17.50, 17.46, 17.58, 18.02, 17.85, 21.49, 20.97, 16.87, 17.53, 17.44, 23.94, 24.92, 16.97, 17.14 Å³/atom, one per record in the order listed.